(1)
Crystalline TbMgPd2 at its relaxed geometry. Source: Alexandria via LeMat-Bulk, functional PBE.

```
TbMgPd2
1.0
-0.972 -0.860 3.122
0.706 -3.237 -0.672
6.237 0.906 2.192
Tb Pd Mg
1 2 1
direct
0.500 0.500 0.500
0.000 0.000 0.226
0.000 0.000 0.774
0.500 0.500 0.000
```

Results
The space group is P4/mmm (123). As for the total energy: -0.182 hartree per atom. For the formation energy, the calculation gives -304 kJ/mol of formula units.



(2)
Crystalline TbMg5Pd2 at its relaxed geometry. Source: Alexandria via LeMat-Bulk, functional PBE.

```
TbMg5Pd2
1.0
3.965 0.001 0.952
1.705 6.421 1.629
0.458 -0.033 6.825
Mg Pd Tb
5 2 1
direct
0.342 0.472 0.845
0.000 0.500 0.500
0.342 0.845 0.472
0.658 0.155 0.528
0.658 0.528 0.155
0.726 0.774 0.774
0.274 0.226 0.226
0.000 0.000 0.000
```

Results
The space group is Immm (71). As for the total energy: -0.122 hartree per atom. For the formation energy, the calculation gives -340 kJ/mol of formula units.



(3)
Crystalline Tb3Mg2Pd4 at its relaxed geometry. Source: Alexandria via LeMat-Bulk, functional PBE.

```
Tb3Mg2Pd4
1.0
4.310 0.000 0.000
-2.155 4.987 0.215
0.000 -0.991 9.015
Pd Mg Tb
4 2 3
direct
0.294 0.588 0.910
0.706 0.412 0.090
0.084 0.167 0.629
0.916 0.833 0.371
0.327 0.655 0.211
0.673 0.345 0.789
0.372 0.744 0.613
0.628 0.256 0.387
0.000 0.000 0.000
```

Results
The space group is C2/m (12). As for the total energy: -0.182 hartree per atom. For the formation energy, the calculation gives -646 kJ/mol of formula units.



(4)
Crystalline TbMgPd2 at its relaxed geometry. Source: Alexandria via LeMat-Bulk, functional PBE.

```
TbMgPd2
1.0
-1.409 0.058 -3.018
-0.884 -4.712 0.322
-4.263 0.937 2.009
Pd Tb Mg
2 1 1
direct
0.000 0.000 0.500
0.000 0.500 0.000
0.500 0.500 0.500
0.500 0.000 0.000
```

Results
The space group is P4/mmm (123). As for the total energy: -0.180 hartree per atom. For the formation energy, the calculation gives -293 kJ/mol of formula units.



(5)
Crystalline Tb2MgPd3 at its relaxed geometry. Source: Alexandria via LeMat-Bulk, functional PBE.

```
Tb2MgPd3
1.0
-4.085 1.355 2.295
0.045 -4.056 -2.709
3.229 -6.282 9.458
Mg Pd Tb
2 6 4
direct
0.333 0.667 0.665
0.667 0.333 0.335
0.000 0.000 0.252
0.667 0.333 0.575
0.667 0.333 0.086
0.000 0.000 0.748
0.333 0.667 0.425
0.333 0.667 0.914
0.000 0.000 0.500
0.667 0.333 0.821
0.000 0.000 0.000
0.333 0.667 0.179
```

Results
The space group is P-3m1 (164). The value obtained for the energy relative to the lowest polymorph listed for this composition is 0.0 meV/atom. As for the total energy: -0.192 hartree per atom. For the formation energy, the calculation gives -474 kJ/mol of formula units.



(6)
Crystalline Tb2Mg3Pd2 at its relaxed geometry. Source: Alexandria via LeMat-Bulk, functional PBE.

```
Tb2Mg3Pd2
1.0
4.348 0.000 0.000
-2.174 4.701 -1.936
0.000 0.001 7.571
Tb Mg Pd
2 3 2
direct
0.857 0.715 0.213
0.143 0.285 0.787
0.500 0.000 0.000
0.367 0.733 0.559
0.633 0.267 0.441
0.851 0.702 0.803
0.149 0.298 0.197
```

Results
The space group is C2/m (12). The value obtained for the energy relative to the lowest polymorph listed for this composition is 0.0 meV/atom. As for the total energy: -0.150 hartree per atom. For the formation energy, the calculation gives -396 kJ/mol of formula units.



(7)
Crystalline TbMg9Pd2 at its relaxed geometry. Source: Alexandria via LeMat-Bulk, functional PBE.

```
TbMg9Pd2
1.0
-3.534 5.670 -3.467
-6.042 -2.594 -6.253
-7.672 2.682 4.036
Mg Pd Tb
18 4 2
direct
0.743 0.818 0.575
0.068 0.925 0.318
0.439 0.818 0.425
0.743 0.575 0.818
0.750 0.500 0.500
0.614 0.318 0.075
0.682 0.575 0.182
0.682 0.182 0.575
0.311 0.682 0.075
0.311 0.075 0.682
0.136 0.425 0.182
0.000 0.000 0.000
0.614 0.075 0.318
0.136 0.182 0.425
0.439 0.425 0.818
0.068 0.318 0.925
0.007 0.682 0.925
0.007 0.925 0.682
0.875 0.250 0.750
0.375 0.750 0.750
0.875 0.750 0.250
0.875 0.250 0.250
0.500 0.000 0.000
0.250 0.500 0.500
```

Results
The space group is I4_1/amd (141). As for the total energy: -0.100 hartree per atom. For the formation energy, the calculation gives -308 kJ/mol of formula units.



(8)
Crystalline TbMgPd14 at its relaxed geometry. Source: Alexandria via LeMat-Bulk, functional PBE.

```
TbMgPd14
1.0
5.669 -0.012 0.000
0.012 5.669 0.000
0.000 0.000 7.984
Pd Mg Tb
14 1 1
direct
0.875 0.875 0.000
0.375 0.875 0.000
0.875 0.375 0.500
0.128 0.128 0.754
0.622 0.128 0.754
0.128 0.128 0.246
0.622 0.622 0.246
0.375 0.375 0.000
0.622 0.128 0.246
0.622 0.622 0.754
0.875 0.375 0.000
0.375 0.875 0.500
0.128 0.622 0.246
0.128 0.622 0.754
0.375 0.375 0.500
0.875 0.875 0.500
```

Results
The space group is P4/mmm (123). As for the total energy: -0.193 hartree per atom. For the formation energy, the calculation gives -489 kJ/mol of formula units.



DOS at the Fermi energy in states/eV/f.u., matching the order above: 1.26, 3.52, 4.17, 1.86, 2.86, 3.84, 8.53, 27.41